Record 1
Density functional theory data (PBE) for SmNbN3 after structural relaxation.

Computed properties:
Space-group type: R-3, No. 148
Energy relative to the elements, uncorrected, eV/f.u.: -3.88
V, Å³ per cell: 141

abc: 6.1062 6.1062 6.1062
angles: 54.56 54.56 54.56
With the nearest neighbours (Å) after each atom.
Fractional positions:
1 Sm 0.1318 0.1318 0.1318  6 N 2.40-2.49
2 Sm 0.8682 0.8682 0.8682  6 N 2.40-2.49
3 Nb 0.3532 0.3532 0.3532  3 N 2.00
4 Nb 0.6468 0.6468 0.6468  3 N 2.00
5 N 0.0673 0.4926 0.6820  1 Nb 2.00
6 N 0.3180 0.9327 0.5074  1 Nb 2.00
7 N 0.4926 0.6820 0.0673  1 Nb 2.00
8 N 0.5074 0.3180 0.9327  1 Nb 2.00
9 N 0.6820 0.0673 0.4926  1 Nb 2.00
10 N 0.9327 0.5074 0.3180  1 Nb 2.00

***

Record 2
Density functional theory data (PBE) for Sm4NbN5 after structural relaxation.

Computed properties:
Space-group type: I4, No. 79
Energy relative to the elements, uncorrected, eV/f.u.: -13.63
V, Å³ per cell: 152

abc: 6.0331 6.0331 6.0331
angles: 100.13 100.13 130.42
With the nearest neighbours (Å) after each atom.
Fractional positions:
1 Sm 0.1042 0.6975 0.8017  6 N 2.43-2.69
2 Sm 0.3025 0.1042 0.4068  6 N 2.43-2.69
3 Sm 0.6975 0.8958 0.5932  6 N 2.43-2.69
4 Sm 0.8958 0.3025 0.1983  6 N 2.43-2.69
5 Nb 0.4514 0.4514 0.0000  1 N 1.95
6 N 0.0654 0.0654 0.0000  1 Nb 1.95
7 N 0.2222 0.4041 0.6341  1 Nb 2.25, 2 Sm 2.43
8 N 0.4041 0.7699 0.1819  1 Nb 2.25, 2 Sm 2.43
9 N 0.5881 0.2222 0.8181  1 Nb 2.25, 2 Sm 2.43
10 N 0.7699 0.5881 0.3659  1 Nb 2.25, 2 Sm 2.43

***

| no. | E (Ry/atom) |
| --- | --- |
| 1 | -0.6415 |
| 2 | -0.6189 |